# 1
Density functional theory data (PBE-GGA) for a relaxed CrAsI3 crystal.

Its symmetry is No. 221. Its crystal system is cubic. As for the formation energy from raw total energies: 46.9 kJ per mole of atoms. As for the offset from the most stable computed form: 0.000 eV per atom.

Geometry as POSCAR:
```
CrAsI3
1.0
5.717 0.000 0.000
0.000 5.717 0.000
0.000 0.000 5.717
Cr As I
1 1 3
direct
0.000 0.000 0.000
0.500 0.500 0.500
0.000 0.500 0.500
0.500 0.000 0.500
0.500 0.500 0.000
```

# 2
Density functional theory data (PBE-GGA) for a relaxed CrAs2I crystal.

Its symmetry is No. 122. Its crystal system is tetragonal. As for the formation energy from raw total energies: 41.6 kJ per mole of atoms. As for the offset from the most stable computed form: 0.000 eV per atom.

Geometry as POSCAR:
```
CrAs2I
1.0
-3.042 3.042 6.376
3.042 -3.042 6.376
3.042 3.042 -6.376
Cr As I
2 4 2
direct
0.000 0.000 0.000
0.750 0.250 0.500
0.375 0.247 0.372
0.753 0.125 0.128
0.875 0.003 0.628
0.997 0.625 0.872
0.250 0.750 0.500
0.500 0.500 0.000
```

# 3
Density functional theory data (PBE-GGA) for a relaxed CrAs2I crystal.

Its symmetry is No. 225. Its crystal system is cubic. As for the formation energy from raw total energies: 107.8 kJ per mole of atoms. As for the offset from the most stable computed form: 0.686 eV per atom.

Geometry as POSCAR:
```
CrAs2I
1.0
0.000 3.371 3.371
3.371 0.000 3.371
3.371 3.371 0.000
Cr As I
1 2 1
direct
0.000 0.000 0.000
0.250 0.250 0.250
0.750 0.750 0.750
0.500 0.500 0.500
```